Compound: ZrAl2In
Source: Alexandria
Functional: PBE
Structure: relaxed

The structure in POSCAR format:
```
ZrAl2In
1.0
-0.5943 -1.8189 3.8360
2.2545 -3.4177 -1.2712
3.4905 1.7863 1.3878
Al In Zr
2 1 1
Cartesian
0.0000 0.0000 0.0000
0.8301 -2.6183 1.2824
1.4481 -0.0163 2.6119
2.8725 -0.8157 0.0583
```

## Properties
**Magnetization**: 0.00 Bohr magnetons per cell
**Formation enthalpy at 0 K**: -0.31 eV per atom
**Total energy**: -5.00 eV/atom
**DOS(E_F)**: 1.799 states/eV per cell